Entry 1:
{"formula": "Pa2Ga4CoGe2", "functional": "GGA-PBE", "state": "optimized geometry", "final_energy_ev_per_cell": -50.90, "sg": "I4/mmm, No. 139", "e_form_mev_per_atom": -384, "lattice_angstrom": [[-3.631, 4.844, 1.187], [-1.322, -3.919, -4.577], [0.202, -4.836, 3.825]], "species": ["Ga", "Ga", "Ga", "Ga", "Ge", "Ge", "Co", "Pa", "Pa"], "frac_coords": [[0.554, 0.277, 0.277], [0.000, 0.723, 0.277], [0.000, 0.277, 0.723], [0.446, 0.723, 0.723], [0.000, 0.269, 0.269], [0.000, 0.731, 0.731], [0.000, 0.000, 0.000], [0.500, 0.250, 0.750], [0.500, 0.750, 0.250]]}

Entry 2:
{"formula": "InB3O", "functional": "GGA-PBE", "state": "optimized geometry", "final_energy_ev_per_cell": -19.35, "raw_formation_energy_kj_per_mol_fu": 809, "sg": "Pm-3m, No. 221", "relative_energy_mev_per_atom": 0, "lattice_angstrom": [[3.800, 0.000, 0.000], [0.000, 3.800, 0.000], [0.000, 0.000, 3.800]], "species": ["O", "B", "B", "B", "In"], "frac_coords": [[0.000, 0.000, 0.000], [0.500, 0.000, 0.000], [0.000, 0.500, 0.000], [0.000, 0.000, 0.500], [0.500, 0.500, 0.500]]}

Entry 3:
{"formula": "CuIrRu2", "functional": "GGA-PBE", "state": "optimized geometry", "final_energy_ev_per_cell": -30.89, "sg": "Cm, No. 8", "e_form_mev_per_atom": 155, "relative_energy_mev_per_atom": 26, "lattice_angstrom": [[4.658, 0.004, 0.003], [3.876, 2.584, 0.003], [0.750, 0.227, 4.581]], "species": ["Ir", "Cu", "Ru", "Ru"], "frac_coords": [[0.254, 0.254, 0.257], [0.501, 0.501, 0.497], [0.999, 0.999, 0.990], [0.746, 0.746, 0.757]]}

Entry 4:
{"formula": "HfNi7Sb2", "functional": "GGA-PBE", "state": "optimized geometry", "final_energy_ev_per_cell": -60.98, "raw_formation_energy_kj_per_mol_fu": -223, "sg": "I4/mmm, No. 139", "lattice_angstrom": [[3.622, 0.000, -0.697], [-0.134, 3.620, -0.697], [0.281, 0.291, 11.219]], "species": ["Ni", "Ni", "Ni", "Ni", "Ni", "Ni", "Ni", "Hf", "Sb", "Sb"], "frac_coords": [[0.750, 0.250, 0.500], [0.914, 0.414, 0.828], [0.086, 0.586, 0.172], [0.586, 0.086, 0.172], [0.414, 0.914, 0.828], [0.250, 0.750, 0.500], [0.500, 0.500, 0.000], [0.000, 0.000, 0.000], [0.332, 0.332, 0.663], [0.668, 0.668, 0.337]]}

Entry 5:
{"formula": "VSiTc", "functional": "GGA-PBE", "state": "optimized geometry", "final_energy_ev_per_cell": -105.36, "raw_formation_energy_kj_per_mol_fu": -138, "sg": "Imm2, No. 44", "relative_energy_mev_per_atom": 42, "lattice_angstrom": [[4.077, 0.000, 0.000], [0.000, 3.028, 0.000], [0.000, 0.000, 13.292]], "species": ["Tc", "Tc", "Tc", "Tc", "Si", "Si", "Si", "Si", "V", "V", "V", "V"], "frac_coords": [[0.500, 0.000, 0.352], [0.000, 0.500, 0.852], [0.500, 0.500, 0.023], [0.000, 0.000, 0.523], [0.500, 0.000, 0.169], [0.000, 0.500, 0.669], [0.000, 0.500, 0.377], [0.500, 0.000, 0.877], [0.500, 0.500, 0.525], [0.000, 0.500, 0.198], [0.500, 0.000, 0.698], [0.000, 0.000, 0.025]]}

Entry 6:
{"formula": "YGa2Ni8", "functional": "GGA-PBE", "state": "optimized geometry", "final_energy_ev_per_cell": -56.89, "sg": "P4/mmm, No. 123", "e_form_mev_per_atom": 171, "lattice_angstrom": [[-1.198, 5.301, -2.215], [-0.054, -2.273, -5.410], [-4.732, -0.893, 0.422]], "species": ["Ni", "Ni", "Ni", "Ni", "Ni", "Ni", "Ni", "Ni", "Ga", "Ga", "Y"], "frac_coords": [[0.800, 0.200, 0.744], [0.200, 0.200, 0.744], [0.800, 0.200, 0.256], [0.200, 0.800, 0.256], [0.800, 0.800, 0.256], [0.200, 0.800, 0.744], [0.200, 0.200, 0.256], [0.800, 0.800, 0.744], [0.000, 0.500, 0.000], [0.500, 0.000, 0.000], [0.500, 0.500, 0.500]]}

Entry 7:
{"formula": "ScZn2Br", "functional": "GGA-PBE", "state": "optimized geometry", "final_energy_ev_per_cell": -11.45, "raw_formation_energy_kj_per_mol_fu": -87, "sg": "Pmmm, No. 47", "relative_energy_mev_per_atom": 170, "lattice_angstrom": [[-0.663, 0.498, -3.172], [2.990, -3.091, -1.110], [-3.956, -3.903, 0.214]], "species": ["Br", "Sc", "Zn", "Zn"], "frac_coords": [[0.500, 0.000, 0.500], [0.000, 0.500, 0.500], [0.500, 0.500, 0.000], [0.000, 0.000, 0.000]]}

Entry 8:
{"formula": "HfAl3Fe", "functional": "GGA-PBE", "state": "optimized geometry", "final_energy_ev_per_cell": -20.91, "sg": "Pm-3m, No. 221", "e_form_mev_per_atom": 1746, "relative_energy_mev_per_atom": 2070, "lattice_angstrom": [[5.092, 0.000, 0.000], [0.000, 5.092, 0.000], [0.000, 0.000, 5.092]], "species": ["Al", "Al", "Al", "Hf", "Fe"], "frac_coords": [[0.000, 0.500, 0.000], [0.500, 0.000, 0.000], [0.000, 0.000, 0.500], [0.000, 0.000, 0.000], [0.500, 0.500, 0.500]]}